This record from Alexandria describes a relaxed AlV3Ir crystal. The functional is GGA-PBE.

The distance to the lowest polymorph of the same formula is 0.393 eV per atom. For the volume, the calculation gives 81.6 Å³/cell. As for the size of the total moment: 0.0003 μB per atom. The calculation puts the mass density at 7.57 g cm⁻³.

It has space group Pm-3m (No. 221), with a = 4.338 Å, b = 4.338 Å, c = 4.338 Å, α = 90.00°, β = 90.00° and γ = 90.00°. The distinct sites, in fractional coordinates, are Al at (0.000, 0.000, 0.000), V at (0.000, 0.000, 0.500) and Ir at (0.500, 0.500, 0.500).